A plane-wave DFT calculation with PBE-GGA was carried out for an optimized crystal structure of NaTl2Ga2.

E_form: -0.1 eV/f.u.

Lattice parameters (Å, degrees): 3.816 3.816 18.140 90.00 90.00 90.00
Space group I4/mmm (No. 139)
Unique sites:
Na  0.000  0.000  0.000 [2 per cell]
Tl  0.000  0.000  0.386 [4 per cell]
Ga  0.000  0.500  0.250 [4 per cell]

A plane-wave DFT calculation with PBE-GGA was carried out for an optimized crystal structure of La8Nd6Tm.

E_form: 0.3 eV/f.u.

Lattice parameters (Å, degrees): 6.4165 6.4165 45.2833 90.00 90.00 120.00
Space group R-3 (No. 148, hexagonal axes)
Unique sites:
La  0.0000  0.0000  0.1667 [6 per cell]
La  0.0000  0.3341  0.3674 [18 per cell]
Nd  0.9999  0.3313  0.5656 [18 per cell]
Tm  0.0000  0.0000  0.5000 [3 per cell]

A plane-wave DFT calculation with PBE-GGA was carried out for an optimized crystal structure of LaPr2Ir2.

E_form: -3.1 eV/f.u.

Lattice parameters (Å, degrees): 5.929 4.442 10.881 90.00 99.48 90.00
Space group P2_1/m (No. 11)
Unique sites:
La  0.038  0.250  0.293 [2 per cell]
Pr  0.270  0.750  0.035 [2 per cell]
Pr  0.392  0.250  0.615 [2 per cell]
Ir  0.159  0.750  0.469 [2 per cell]
Ir  0.193  0.250  0.863 [2 per cell]

A plane-wave DFT calculation with PBE-GGA was carried out for an optimized crystal structure of TbNdDyEr.

E_form: 0.8 eV/f.u.

Lattice parameters (Å, degrees): 3.440 5.636 6.738 90.00 90.00 90.00
Space group Pmm2 (No. 25)
Unique sites:
Tb  0.000  0.000  0.000 [1 per cell]
Nd  0.500  0.500  0.747 [1 per cell]
Dy  0.500  0.000  0.493 [1 per cell]
Er  0.500  0.500  0.233 [1 per cell]

A plane-wave DFT calculation with PBE-GGA was carried out for an optimized crystal structure of Tm2PuTl.

E_form: -0.2 eV/f.u.

Lattice parameters (Å, degrees): 4.869 4.869 4.598 90.00 90.00 90.00
Space group P4/mmm (No. 123)
Unique sites:
Tm  0.000  0.500  0.000 [2 per cell]
Pu  0.000  0.000  0.500 [1 per cell]
Tl  0.500  0.500  0.500 [1 per cell]

A plane-wave DFT calculation with PBE-GGA was carried out for an optimized crystal structure of Rb2ThUN4.

Uncorrected formation energy: -986 meV/atom

Lattice parameters (Å, degrees): 6.288 3.662 7.067 90.00 107.19 90.00
Space group P2/m (No. 10)
Unique sites:
Rb  0.000  0.000  0.000 [1 per cell]
Rb  0.500  0.500  0.000 [1 per cell]
Th  0.000  0.500  0.500 [1 per cell]
U  0.500  0.000  0.500 [1 per cell]
N  0.252  0.000  0.652 [2 per cell]
N  0.301  0.500  0.347 [2 per cell]

A plane-wave DFT calculation with PBE-GGA was carried out for an optimized crystal structure of Nd2ErTh.

E_form: 0.2 eV/f.u.

Lattice parameters (Å, degrees): 5.095 5.095 5.113 90.00 90.00 90.00
Space group P4/mmm (No. 123)
Unique sites:
Nd  0.000  0.500  0.000 [2 per cell]
Er  0.000  0.000  0.500 [1 per cell]
Th  0.500  0.500  0.500 [1 per cell]

A plane-wave DFT calculation with PBE-GGA was carried out for an optimized crystal structure of TbPr3Tl4.

E_form: -2.0 eV/f.u.

Lattice parameters (Å, degrees): 3.763 7.394 18.607 90.00 90.00 90.00
Space group Immm (No. 71)
Unique sites:
Tb  0.000  0.000  0.000 [2 per cell]
Pr  0.000  0.000  0.500 [2 per cell]
Pr  0.000  0.500  0.284 [4 per cell]
Tl  0.000  0.286  0.126 [8 per cell]

A plane-wave DFT calculation with PBE-GGA was carried out for an optimized crystal structure of TlHgSb2.

Uncorrected formation energy: 142 meV/atom

Lattice parameters (Å, degrees): 3.224 3.224 10.969 90.00 90.00 90.00
Space group P4mm (No. 99)
Unique sites:
Tl  0.000  0.000  0.000 [1 per cell]
Hg  0.500  0.500  0.253 [1 per cell]
Sb  0.000  0.000  0.501 [1 per cell]
Sb  0.500  0.500  0.746 [1 per cell]

A plane-wave DFT calculation with PBE-GGA was carried out for an optimized crystal structure of TbGdZr2.

E_form: 0.9 eV/f.u.

Lattice parameters (Å, degrees): 3.952 3.952 6.836 90.00 90.00 90.00
Space group P4/mmm (No. 123)
Unique sites:
Tb  0.000  0.000  0.000 [1 per cell]
Gd  0.000  0.000  0.500 [1 per cell]
Zr  0.500  0.500  0.268 [2 per cell]

A plane-wave DFT calculation with PBE-GGA was carried out for an optimized crystal structure of AlCr2TeP.

Uncorrected formation energy: 875 meV/atom

Lattice parameters (Å, degrees): 5.043 5.043 4.371 90.00 90.00 90.00
Space group P4/mmm (No. 123)
Unique sites:
Al  0.000  0.000  0.000 [1 per cell]
Cr  0.000  0.500  0.000 [2 per cell]
Te  0.500  0.500  0.500 [1 per cell]
P  0.000  0.000  0.500 [1 per cell]

A plane-wave DFT calculation with PBE-GGA was carried out for an optimized crystal structure of ZnH.

Energy: -2.0969 eV per atom

Lattice parameters (Å, degrees): 2.643 2.912 6.631 90.00 100.98 90.00
Space group P2_1/m (No. 11)
Unique sites:
Zn  0.074  0.250  0.164 [2 per cell]
H  0.346  0.750  0.670 [2 per cell]

A plane-wave DFT calculation with PBE-GGA was carried out for an optimized crystal structure of RbSn2AsRh.

E_form: 0.3 eV/f.u.

Lattice parameters (Å, degrees): 5.314 5.314 5.005 90.00 90.00 90.00
Space group P4/mmm (No. 123)
Unique sites:
Rb  0.000  0.000  0.000 [1 per cell]
Sn  0.000  0.500  0.500 [2 per cell]
As  0.500  0.500  0.000 [1 per cell]
Rh  0.500  0.500  0.500 [1 per cell]

A plane-wave DFT calculation with PBE-GGA was carried out for an optimized crystal structure of SrCd2Hg9.

E_form: -1.2 eV/f.u.

Lattice parameters (Å, degrees): 12.426 12.426 8.137 90.00 90.00 90.00
Space group I4_1/amd (No. 141, origin choice 2)
Unique sites:
Sr  0.000  0.250  0.375 [4 per cell]
Cd  0.000  0.000  0.000 [8 per cell]
Hg  0.000  0.250  0.875 [4 per cell]
Hg  0.121  0.059  0.659 [32 per cell]

A plane-wave DFT calculation with PBE-GGA was carried out for an optimized crystal structure of Al2ZnBr.

Uncorrected formation energy: 82 meV/atom

Lattice parameters (Å, degrees): 3.302 3.302 7.512 90.00 90.00 90.00
Space group P4mm (No. 99)
Unique sites:
Al  0.000  0.000  0.000 [1 per cell]
Al  0.500  0.500  0.221 [1 per cell]
Zn  0.500  0.500  0.807 [1 per cell]
Br  0.000  0.000  0.470 [1 per cell]

A plane-wave DFT calculation with PBE-GGA was carried out for an optimized crystal structure of TbPm2Er.

E_form: 0.1 eV/f.u.

Lattice parameters (Å, degrees): 3.6103 3.6103 34.8911 90.00 90.00 120.00
Space group R3m (No. 160, hexagonal axes)
Unique sites:
Tb  0.0000  0.0000  0.0000 [3 per cell]
Pm  0.0000  0.0000  0.5831 [3 per cell]
Pm  0.0000  0.0000  0.7503 [3 per cell]
Er  0.0000  0.0000  0.1671 [3 per cell]

A plane-wave DFT calculation with PBE-GGA was carried out for an optimized crystal structure of Ce2P3Pd3.

E_form: -7.6 eV/f.u.

Lattice parameters (Å, degrees): 6.9217 6.9217 7.9575 90.00 90.00 120.00
Space group P6_3/mcm (No. 193)
Unique sites:
Ce  0.3333  0.6667  0.0000 [4 per cell]
P  0.0000  0.3928  0.2500 [6 per cell]
Pd  0.0000  0.2519  0.7500 [6 per cell]

A plane-wave DFT calculation with PBE-GGA was carried out for an optimized crystal structure of GdErSn2.

E_form: -2.6 eV/f.u.

Lattice parameters (Å, degrees): 3.458 3.458 8.853 90.00 90.00 90.00
Space group P4/mmm (No. 123)
Unique sites:
Gd  0.000  0.000  0.000 [1 per cell]
Er  0.000  0.000  0.500 [1 per cell]
Sn  0.500  0.500  0.255 [2 per cell]

A plane-wave DFT calculation with PBE-GGA was carried out for an optimized crystal structure of Rb2SrCdF6.

Uncorrected formation energy: -2926 meV/atom

Lattice parameters (Å, degrees): 9.275 9.275 9.275 90.00 90.00 90.00
Space group Fm-3m (No. 225)
Unique sites:
Rb  0.250  0.250  0.250 [8 per cell]
Sr  0.000  0.000  0.000 [4 per cell]
Cd  0.000  0.000  0.500 [4 per cell]
F  0.000  0.000  0.257 [24 per cell]

A plane-wave DFT calculation with PBE-GGA was carried out for an optimized crystal structure of PrThB12.

E_form: -6.7 eV/f.u.

Lattice parameters (Å, degrees): 4.127 4.127 8.262 90.00 90.00 90.00
Space group P4/mmm (No. 123)
Unique sites:
Pr  0.000  0.000  0.000 [1 per cell]
Th  0.000  0.000  0.500 [1 per cell]
B  0.198  0.500  0.251 [8 per cell]
B  0.500  0.500  0.100 [2 per cell]
B  0.500  0.500  0.401 [2 per cell]